[1]
Below is a relaxed Hf2Co2As crystal, with properties calculated at the GGA-PBE level.

Output
Calculated total energy = -8.19 eV per atom
DFT formation energy = -10.08 kcal/mol of atoms

Cell lengths 6.7090, 6.7090, 3.4755 Å; angles 90.00, 90.00, 90.00 degrees
With the nearest neighbours (Å) after each atom.
Space group P4/mbm (No. 127)
Inequivalent atoms, fractional coordinates:
Hf1 0.1732 0.3268 0.0000 x4  6 Co 2.56-2.68
Co1 0.1286 0.6286 0.5000 x4  1 Co 2.44, 6 Hf 2.56-2.68, 2 As 2.64
As1 0.0000 0.0000 0.5000 x2  4 Co 2.64

***

[2]
Below is a relaxed YTaTl crystal, with properties calculated at the GGA-PBE level.

Output
Calculated total energy = -6.48 eV per atom
DFT formation energy = 9.60 kcal/mol of atoms
Distance to the lowest polymorph of the same formula = 48 kJ/mol of formula units

Cell lengths 5.1038, 5.1038, 3.2309 Å; angles 90.00, 90.00, 120.00 degrees
With the nearest neighbours (Å) after each atom.
Space group P-6m2 (No. 187)
Inequivalent atoms, fractional coordinates:
Y1 0.0000 0.0000 0.0000 x1  2 Y 3.23, 6 Ta 3.36, 6 Tl 3.36
Ta1 0.6667 0.3333 0.5000 x1  3 Tl 2.95, 2 Ta 3.23
Tl1 0.3333 0.6667 0.5000 x1  3 Ta 2.95, 2 Tl 3.23

***

[3]
Below is a relaxed TePb crystal, with properties calculated at the GGA-PBE level.

Output
Calculated total energy = -3.62 eV per atom
ΔE_f (raw) = -4.6 kcal/mol of atoms

Cell lengths 8.9178, 8.9178, 8.9178 Å; angles 90.00, 90.00, 90.00 degrees
With the nearest neighbours (Å) after each atom.
Space group Pm-3n (No. 223)
Inequivalent atoms, fractional coordinates:
Te1 0.0000 0.2500 0.5000 x6  4 Pb 3.15
Pb1 0.0000 0.5000 0.2500 x6  4 Te 3.15

***

[4]
Below is a relaxed Th2USi3Ir12 crystal, with properties calculated at the GGA-PBE level.

Output
Calculated total energy = -8.42 eV per atom
ΔE_f (raw) = -3.6 kcal/mol of atoms

Cell lengths 8.0850, 8.0850, 18.3453 Å; angles 90.00, 90.00, 120.00 degrees
With the nearest neighbours (Å) after each atom.
Space group R-3m (No. 166, hexagonal axes)
Inequivalent atoms, fractional coordinates:
Th1 0.0000 0.0000 0.1018 x6  6 Ir 2.79-2.84
U1 0.0000 0.0000 0.5000 x3  6 Ir 2.59
Si1 0.0000 0.5000 0.0000 x9  6 Ir 2.35-2.42
Ir1 0.0244 0.5122 0.8685 x18  1 Si 2.42, 1 U 2.59
Ir2 0.0273 0.5137 0.3710 x18  2 Si 2.35

***

[5]
Below is a relaxed NbAsIBr2 crystal, with properties calculated at the GGA-PBE level.

Output
Calculated total energy = -3.97 eV per atom
ΔE_f (raw) = -1.1 kcal/mol of atoms
Distance to the lowest polymorph of the same formula = 0 kJ/mol of formula units

Cell lengths 5.0755, 5.0755, 5.3797 Å; angles 90.00, 90.00, 90.00 degrees
With the nearest neighbours (Å) after each atom.
Space group P4/mmm (No. 123)
Inequivalent atoms, fractional coordinates:
Nb1 0.0000 0.0000 0.0000 x1  4 Br 2.54, 2 As 2.69
As1 0.0000 0.0000 0.5000 x1  2 Nb 2.69
I1 0.5000 0.5000 0.5000 x1  4 As 3.59, 8 Br 3.70
Br1 0.0000 0.5000 0.0000 x2  2 Nb 2.54

***

[6]
Below is a relaxed Sm4Sb3 crystal, with properties calculated at the GGA-PBE level.

Output
Calculated total energy = -5.38 eV per atom
ΔE_f (raw) = -21.1 kcal/mol of atoms
Distance to the lowest polymorph of the same formula = 89 kJ/mol of formula units

Cell lengths 4.5904, 4.5904, 37.3695 Å; angles 90.00, 90.00, 120.00 degrees
With the nearest neighbours (Å) after each atom.
Space group R-3m (No. 166, hexagonal axes)
Inequivalent atoms, fractional coordinates:
Sm1 0.0000 0.0000 0.1218 x6  6 Sb 3.14-3.23
Sm2 0.0000 0.0000 0.3660 x6  3 Sb 3.04
Sb1 0.0000 0.0000 0.2609 x6  6 Sm 3.04-3.23
Sb2 0.0000 0.0000 0.5000 x3  6 Sm 3.14

***

[7]
Below is a relaxed Tb2PrY2Tm crystal, with properties calculated at the GGA-PBE level.

Output
Calculated total energy = -4.97 eV per atom
DFT formation energy = 6.11 kcal/mol of atoms

Cell lengths 6.5215, 17.8796, 3.4264 Å; angles 90.00, 90.00, 90.00 degrees
With the nearest neighbours (Å) after each atom.
Space group Pnnm (No. 58)
Inequivalent atoms, fractional coordinates:
Tb1 0.2152 0.1465 0.0000 x4  1 Pr 3.21, 4 Y 3.32-3.43, 2 Tb 3.43, 2 Tm 3.43
Pr1 0.0000 0.5000 0.5000 x2  2 Tb 3.21, 2 Pr 3.43
Y1 0.2185 0.3125 0.5000 x4  4 Tb 3.32-3.43, 2 Y 3.43, 1 Pr 3.64
Tm1 0.0000 0.0000 0.5000 x2  2 Tm 3.43, 4 Tb 3.43, 4 Pr 3.68

***

[8]
Below is a relaxed ThPaPd14 crystal, with properties calculated at the GGA-PBE level.

Output
Calculated total energy = -6.09 eV per atom
DFT formation energy = -11.25 kcal/mol of atoms

Cell lengths 5.8828, 5.8828, 7.8025 Å; angles 90.00, 90.00, 90.00 degrees
With the nearest neighbours (Å) after each atom.
Space group P4/mmm (No. 123)
Inequivalent atoms, fractional coordinates:
Th1 0.0000 0.0000 0.0000 x1  12 Pd 2.91-2.94
Pa1 0.5000 0.5000 0.0000 x1  12 Pd 2.85-2.94
Pd1 0.0000 0.0000 0.5000 x1  12 Pd 2.85-2.94
Pd2 0.0000 0.5000 0.0000 x2  8 Pd 2.88, 2 Th 2.94, 2 Pa 2.94
Pd3 0.0000 0.5000 0.5000 x2  12 Pd 2.82-2.94
Pd4 0.2547 0.2547 0.2554 x8  10 Pd 2.79-3.00, 1 Pa 2.85, 1 Th 2.91
Pd5 0.5000 0.5000 0.5000 x1  12 Pd 2.79-2.94

***

What did the third record say?
Below is a relaxed TePb crystal, with properties calculated at the GGA-PBE level.

Output
Calculated total energy = -3.62 eV per atom
ΔE_f (raw) = -4.6 kcal/mol of atoms

Cell lengths 8.9178, 8.9178, 8.9178 Å; angles 90.00, 90.00, 90.00 degrees
With the nearest neighbours (Å) after each atom.
Space group Pm-3n (No. 223)
Inequivalent atoms, fractional coordinates:
Te1 0.0000 0.2500 0.5000 x6  4 Pb 3.15
Pb1 0.0000 0.5000 0.2500 x6  4 Te 3.15

***

- Among the records above, which one has the highest calculated total energy?
  TePb